# Al2IrRh | Alexandria via LeMat-Bulk | PBE-GGA | relaxed
# - ΔE to the lowest computed polymorph (eV/atom) = 0.276
# - formation enthalpy at 0 K (eV per atom) = -0.75
# - E_tot (eV/atom) = -6.672
data_Al2IrRh
_symmetry_space_group_name_H-M 'I m m 2'
_symmetry_Int_Tables_number 44
_symmetry_space_group_name_Hall 'I 2 -2'
_cell_length_a 2.9569
_cell_length_b 4.1567
_cell_length_c 9.2389
_cell_angle_alpha 90.00
_cell_angle_beta 90.00
_cell_angle_gamma 90.00
loop_
_atom_site_label
_atom_site_type_symbol
_atom_site_fract_x
_atom_site_fract_y
_atom_site_fract_z
Al1 Al 0.0000 0.0000 0.0000
Al2 Al 0.0000 0.5000 0.2308
Ir1 Ir 0.0000 0.5000 0.7326
Rh1 Rh 0.0000 0.0000 0.4984